{"formula": "NaYNiF2", "functional": "PBE with a Hubbard U", "state": "optimized geometry", "cell": [[4.066, 0.000, 0.000], [0.000, 4.855, 0.000], [0.000, 0.000, 4.066]], "species": ["F", "F", "Na", "Y", "Ni"], "frac_coords": [[0.500, 0.000, 0.000], [0.000, 0.000, 0.500], [0.000, 0.000, 0.000], [0.500, 0.500, 0.500], [0.000, 0.500, 0.000]], "dos_at_fermi_per_ev_atom": 0.03, "energy_ev_per_atom": -3.91}